[1]
Sm4Be: optimized geometry, PBE.

As for the energy relative to the elements: 1.43 eV/f.u.

It has space group Pm-3m (No. 221), with a = 5.425 Å, b = 5.425 Å, c = 5.425 Å, α = 90.00°, β = 90.00° and γ = 90.00°. Symmetry generates all atoms from Sm at (0.000, 0.000, 0.000), Sm at (0.000, 0.500, 0.500) and Be at (0.500, 0.500, 0.500).

=====

[2]
Mo2OsBr: optimized geometry, PBE.

It has space group Cmmm (No. 65), with a = 3.023 Å, b = 4.845 Å, c = 9.143 Å, α = 90.00°, β = 90.00° and γ = 90.00°. Symmetry generates all atoms from Mo at (0.000, 0.000, 0.237), Os at (0.000, 0.500, 0.000) and Br at (0.000, 0.500, 0.500).

=====

[3]
TaCd2Fe: optimized geometry, PBE.

As for the energy relative to the elements: 1.70 eV/f.u.

It has space group P4/mmm (No. 123), with a = 3.955 Å, b = 3.955 Å, c = 4.514 Å, α = 90.00°, β = 90.00° and γ = 90.00°. Symmetry generates all atoms from Ta at (0.000, 0.000, 0.000), Cd at (0.000, 0.500, 0.500) and Fe at (0.500, 0.500, 0.000).

=====

| no. | theoretical density (g/cm3) | raw total energy (eV/cell) |
| --- | --- | --- |
| 1 | 6.351 | -21.177 |
| 2 | 11.458 | -62.757 |
| 3 | 10.857 | -20.448 |